Record 1
Crystalline Ho2B6Os at its relaxed geometry. Source: Alexandria via LeMat-Bulk, functional GGA-PBEsol.

Computed properties:
Total moment in μB per cell: 0.0
VASP energy in eV/atom: -7.8777

a b c (Å): 3.6046 9.0713 11.4306
angles (deg): 90.00 90.00 90.00
Fractional positions:
Ho (0.0000, 0.1783, 0.9139)
B (0.5000, 0.7481, 0.4202)
B (0.5000, 0.9825, 0.2128)
B (0.5000, 0.7091, 0.7665)
Ho (0.0000, 0.8217, 0.0861)
B (0.5000, 0.3689, 0.8148)
Ho (0.0000, 0.5564, 0.8728)
Ho (0.0000, 0.4436, 0.1272)
B (0.5000, 0.8689, 0.6852)
B (0.5000, 0.5534, 0.4333)
B (0.5000, 0.8926, 0.5298)
B (0.5000, 0.1311, 0.3148)
Ho (0.0000, 0.3217, 0.4139)
B (0.5000, 0.7519, 0.9202)
B (0.5000, 0.1074, 0.4702)
B (0.5000, 0.5175, 0.7128)
B (0.5000, 0.6074, 0.0298)
Ho (0.0000, 0.6783, 0.5861)
Os (0.0000, 0.1373, 0.1786)
B (0.5000, 0.0534, 0.0667)
Os (0.0000, 0.3627, 0.6786)
B (0.5000, 0.2909, 0.2335)
B (0.5000, 0.4825, 0.2872)
Ho (0.0000, 0.0564, 0.6272)
B (0.5000, 0.2519, 0.5798)
B (0.5000, 0.2481, 0.0798)
B (0.5000, 0.7909, 0.2665)
Os (0.0000, 0.6373, 0.3214)
Os (0.0000, 0.8627, 0.8214)
B (0.5000, 0.6311, 0.1852)
B (0.5000, 0.3926, 0.9702)
B (0.5000, 0.0175, 0.7872)
B (0.5000, 0.4466, 0.5667)
Ho (0.0000, 0.9436, 0.3728)
B (0.5000, 0.2091, 0.7335)
B (0.5000, 0.9466, 0.9333)

=====

Record 2
Crystalline YGaPdBr2 at its relaxed geometry. Source: Alexandria via LeMat-Bulk, functional GGA-PBEsol.

Computed properties:
Total moment in μB per cell: 0.0
Formation energy from raw total energies in kJ/mol of formula units: 120
VASP energy in eV/atom: -3.7228

a b c (Å): 4.9083 4.9083 5.6913
angles (deg): 90.00 90.00 90.00
Fractional positions:
Pd (0.5000, 0.5000, 0.5000)
Y (0.0000, 0.0000, 0.5000)
Br (0.5000, 0.0000, 0.0000)
Ga (0.0000, 0.0000, 0.0000)
Br (0.0000, 0.5000, 0.0000)

=====

Record 3
Crystalline Zn2GaP2 at its relaxed geometry. Source: Alexandria via LeMat-Bulk, functional GGA-PBEsol.

Computed properties:
Total moment in μB per cell: 0.0
VASP energy in eV/atom: -3.3934

a b c (Å): 3.9076 3.9076 6.1869
angles (deg): 108.41 108.41 90.00
Fractional positions:
Zn (0.3920, 0.3920, 0.7839)
P (0.7500, 0.2500, 0.5000)
Zn (0.6080, 0.6080, 0.2161)
P (0.2500, 0.7500, 0.5000)
Ga (0.0000, 0.0000, 0.0000)

=====

Record 4
Crystalline Ta2CrRh at its relaxed geometry. Source: Alexandria via LeMat-Bulk, functional GGA-PBEsol.

Computed properties:
Total moment in μB per cell: 1.2
VASP energy in eV/atom: -10.8829

a b c (Å): 3.7425 3.7425 5.1028
angles (deg): 111.51 111.51 90.00
Site moments in Bohr magnetons follow the coordinates.
Fractional positions:
Ta (0.7500, 0.2500, 0.5000)  -0.02
Rh (0.2500, 0.7500, 0.5000)  0.03
Ta (0.0000, 0.0000, 0.0000)  -0.14
Cr (0.5000, 0.5000, 0.0000)  1.28

=====

Record 5
Crystalline TiCl3 at its relaxed geometry. Source: Alexandria via LeMat-Bulk, functional GGA-PBEsol.

Computed properties:
Total moment in μB per cell: 6.0
Formation energy from raw total energies in kJ/mol of formula units: -616
VASP energy in eV/atom: -5.1836

a b c (Å): 5.9066 5.9066 18.3547
angles (deg): 90.00 90.00 120.00
Site moments in Bohr magnetons follow the coordinates.
Fractional positions:
Cl (0.8799, 0.7766, 0.4116)  -0.01
Ti (0.9062, 0.4531, 0.0000)  0.85
Ti (0.8988, 0.1012, 0.3333)  0.85
Cl (0.2117, 0.4342, 0.9216)  -0.01
Ti (0.8988, 0.7977, 0.6667)  0.85
Cl (0.2225, 0.7883, 0.5883)  -0.01
Cl (0.5652, 0.4458, 0.5945)  0.00
Ti (0.2023, 0.1012, 0.0000)  0.85
Cl (0.2117, 0.7775, 0.0784)  -0.01
Cl (0.8805, 0.4348, 0.2611)  0.00
Cl (0.2234, 0.1033, 0.7450)  -0.01
Cl (0.2225, 0.4342, 0.4117)  -0.01
Cl (0.2234, 0.1201, 0.2550)  -0.01
Cl (0.8799, 0.1033, 0.5884)  -0.01
Cl (0.8805, 0.4458, 0.7389)  0.00
Cl (0.5542, 0.4348, 0.0722)  0.00
Ti (0.5469, 0.4531, 0.3333)  0.85
Cl (0.5658, 0.7883, 0.7450)  -0.01
Cl (0.5658, 0.7775, 0.2550)  -0.01
Ti (0.5469, 0.0938, 0.6667)  0.85
Cl (0.5542, 0.1195, 0.9278)  0.00
Cl (0.5652, 0.1195, 0.4055)  0.00
Cl (0.8967, 0.7766, 0.9217)  -0.01
Cl (0.8967, 0.1201, 0.0783)  -0.01

=====

Record 6
Crystalline SiAgBr2 at its relaxed geometry. Source: Alexandria via LeMat-Bulk, functional GGA-PBEsol.

Computed properties:
Total moment in μB per cell: 0.0
Formation energy from raw total energies in kJ/mol of formula units: 65
VASP energy in eV/atom: -3.0323

a b c (Å): 3.4084 4.7163 5.5748
angles (deg): 89.89 90.00 90.00
Fractional positions:
Br (0.5000, 0.5000, 0.5000)
Si (0.5000, 0.5000, 0.0000)
Br (0.0000, 0.0000, 0.0000)
Ag (0.0000, 0.0000, 0.5000)

=====

Q: Among the records above, which one has the lowest VASP energy?
A: Ta2CrRh

=====

Q: Look up the total moment of the sixth one.
A: 0.0 μB per cell

=====

Q: Among the records above, which one has the highest total moment?
A: TiCl3

=====

Q: Which formula does entry 6 have?
A: SiAgBr2